Zr2Co2Se | PBE | optimized geometry

Lattice parameters (Å, degrees): 7.2621 7.2621 3.3244 90.00 90.00 90.00
Last column: nearest neighbours and their distance in Å.
Positions (direct):
Zr 0.1692 0.3308 0.0000  2 Se 2.70, 6 Co 2.71-2.72
Zr 0.3308 0.8308 0.0000  2 Se 2.70, 6 Co 2.71-2.72
Zr 0.6692 0.1692 0.0000  2 Se 2.70, 6 Co 2.71-2.72
Zr 0.8308 0.6692 0.0000  2 Se 2.70, 6 Co 2.71-2.72
Co 0.1212 0.6212 0.5000  1 Co 2.49, 6 Zr 2.71-2.72
Co 0.3788 0.1212 0.5000  1 Co 2.49, 6 Zr 2.71-2.72
Co 0.6212 0.8788 0.5000  1 Co 2.49, 6 Zr 2.71-2.72
Co 0.8788 0.3788 0.5000  1 Co 2.49, 6 Zr 2.71-2.72
Se 0.0000 0.0000 0.0000  4 Zr 2.70
Se 0.5000 0.5000 0.0000  4 Zr 2.70

DFT total energy = -7.17 eV/atom
D(E_F) = 1.7 states/eV/f.u.
Total magnetization = 0.0 μB per cell
E above lowest polymorph = 185 meV per atom



Zr2CoSe | PBE | optimized geometry

Lattice parameters (Å, degrees): 4.8665 4.8665 4.8665 126.83 126.83 78.52
Last column: nearest neighbours and their distance in Å.
Positions (direct):
Zr 0.2500 0.7500 0.5000  4 Se 2.88, 4 Co 2.88, 4 Zr 3.08
Zr 0.7500 0.2500 0.5000  4 Se 2.88, 4 Co 2.88, 4 Zr 3.08
Co 0.0000 0.0000 0.0000  8 Zr 2.88, 4 Se 3.08
Se 0.5000 0.5000 0.0000  8 Zr 2.88, 4 Co 3.08

DFT total energy = -7.29 eV/atom
D(E_F) = 3.9 states/eV/f.u.
Total magnetization = 1.1 μB per cell



ZrCoSe | PBE | optimized geometry

Lattice parameters (Å, degrees): 4.1845 4.1845 4.1845 60.00 60.00 60.00
Last column: nearest neighbours and their distance in Å.
Positions (direct):
Zr 0.0000 0.0000 0.0000  4 Co 2.56
Co 0.7500 0.7500 0.7500  4 Zr 2.56, 4 Se 2.56
Se 0.5000 0.5000 0.5000  4 Co 2.56

DFT total energy = -6.86 eV/atom
D(E_F) = 3.1 states/eV/f.u.
Total magnetization = 0.0 μB per cell
E above lowest polymorph = 230 meV per atom



Zr2CoSe | PBE | optimized geometry

Lattice parameters (Å, degrees): 3.7296 5.4108 5.4108 40.34 90.00 90.00
Last column: nearest neighbours and their distance in Å.
Positions (direct):
Zr 0.0000 0.0000 0.0000  3 Co 2.70-3.02, 4 Se 2.76
Zr 0.5000 0.2995 0.2995  4 Co 2.72, 3 Se 2.84-2.91
Co 0.0000 0.7338 0.7338  2 Se 2.44, 5 Zr 2.70-2.72
Se 0.5000 0.5792 0.5792  2 Co 2.44

DFT total energy = -7.60 eV/atom
D(E_F) = 3.7 states/eV/f.u.
Total magnetization = 0.0 μB per cell



ZrCoSe | PBE | optimized geometry

Lattice parameters (Å, degrees): 5.0985 5.0985 5.0985 141.59 141.59 55.44
Last column: nearest neighbours and their distance in Å.
Positions (direct):
Zr 0.0000 0.0000 0.0000  4 Co 2.75, 5 Se 2.88
Co 0.3460 0.3460 0.0000  4 Zr 2.75, 5 Se 2.80-3.02
Se 0.6804 0.6804 0.0000  5 Co 2.80-3.02, 5 Zr 2.88

DFT total energy = -6.72 eV/atom
D(E_F) = 2.8 states/eV/f.u.
Total magnetization = 0.9 μB per cell
E above lowest polymorph = 365 meV per atom



Zr2CoSe | PBE | optimized geometry

Lattice parameters (Å, degrees): 5.8548 5.8548 5.8548 105.97 105.97 116.73
Last column: nearest neighbours and their distance in Å.
Positions (direct):
Zr 0.1026 0.6250 0.9776  2 Co 2.50, 2 Se 2.72
Zr 0.3750 0.3526 0.4776  2 Co 2.50, 2 Se 2.72
Zr 0.6474 0.1250 0.0224  2 Co 2.50, 2 Se 2.72
Zr 0.8750 0.8974 0.5224  2 Co 2.50, 2 Se 2.72
Co 0.0000 0.0000 0.0000  4 Zr 2.50
Co 0.7500 0.2500 0.5000  4 Zr 2.50
Se 0.2500 0.7500 0.5000  4 Zr 2.72
Se 0.5000 0.5000 0.0000  4 Zr 2.72

DFT total energy = -7.23 eV/atom
D(E_F) = 3.3 states/eV/f.u.
Total magnetization = 0.0 μB per cell



ZrCo2Se2 | PBE | optimized geometry

Lattice parameters (Å, degrees): 6.3693 6.3693 6.3693 146.57 146.57 48.00
Last column: nearest neighbours and their distance in Å.
Positions (direct):
Zr 0.0000 0.0000 0.0000  8 Se 2.98
Co 0.2500 0.7500 0.5000  4 Se 2.33, 4 Co 2.59
Co 0.7500 0.2500 0.5000  4 Se 2.33, 4 Co 2.59
Se 0.3742 0.3742 0.0000  4 Co 2.33
Se 0.6258 0.6258 0.0000  4 Co 2.33

DFT total energy = -6.26 eV/atom
D(E_F) = 3.9 states/eV/f.u.
Total magnetization = 1.5 μB per cell
E above lowest polymorph = 0 meV per atom



Zr2CoSe | PBE | optimized geometry

Lattice parameters (Å, degrees): 3.3279 4.2634 5.0378 90.00 90.00 90.00
Last column: nearest neighbours and their distance in Å.
Positions (direct):
Zr 0.0000 0.0000 0.0000  4 Se 2.70, 4 Co 3.02
Zr 0.0000 0.5000 0.5000  4 Co 2.70, 4 Se 3.02
Co 0.5000 0.0000 0.5000  8 Zr 2.70-3.02
Se 0.5000 0.5000 0.0000  8 Zr 2.70-3.02

DFT total energy = -7.38 eV/atom
D(E_F) = 4.4 states/eV/f.u.
Total magnetization = 0.0 μB per cell



Zr2CoSe2 | PBE | optimized geometry

Lattice parameters (Å, degrees): 7.1796 7.1796 3.5265 90.00 90.00 90.00
Last column: nearest neighbours and their distance in Å.
Positions (direct):
Zr 0.1540 0.3460 0.0000  6 Se 2.66-2.81
Zr 0.3460 0.8460 0.0000  6 Se 2.66-2.81
Zr 0.6540 0.1540 0.0000  6 Se 2.66-2.81
Zr 0.8460 0.6540 0.0000  6 Se 2.66-2.81
Co 0.0000 0.0000 0.5000  4 Se 2.73
Co 0.5000 0.5000 0.5000  4 Se 2.73
Se 0.1503 0.6503 0.5000  6 Zr 2.66-2.81, 2 Co 2.73
Se 0.3497 0.1503 0.5000  6 Zr 2.66-2.81, 2 Co 2.73
Se 0.6503 0.8497 0.5000  6 Zr 2.66-2.81, 2 Co 2.73
Se 0.8497 0.3497 0.5000  6 Zr 2.66-2.81, 2 Co 2.73

DFT total energy = -6.82 eV/atom
D(E_F) = 4.1 states/eV/f.u.
Total magnetization = 1.8 μB per cell
E above lowest polymorph = 0 meV per atom



Co4Si3 | PBE | optimized geometry

Lattice parameters (Å, degrees): 4.6738 4.6738 4.2418 90.00 90.00 120.00
Last column: nearest neighbours and their distance in Å.
Positions (direct):
Co 0.0000 0.0000 0.2473  2 Co 2.10-2.14
Co 0.0000 0.0000 0.7527  2 Co 2.10-2.14
Co 0.3333 0.6667 0.0000  6 Si 2.51, 3 Co 2.70
Co 0.6667 0.3333 0.0000  6 Si 2.51, 3 Co 2.70
Si 0.0000 0.5000 0.5000  4 Si 2.34, 8 Co 2.51-2.57
Si 0.5000 0.0000 0.5000  4 Si 2.34, 8 Co 2.51-2.57
Si 0.5000 0.5000 0.5000  4 Si 2.34, 8 Co 2.51-2.57

DFT total energy = -6.27 eV/atom
D(E_F) = 4.3 states/eV/f.u.
Total magnetization = 3.5 μB per cell
E above lowest polymorph = 395 meV per atom



CoSi2 | PBE | optimized geometry

Lattice parameters (Å, degrees): 6.0620 3.3131 7.2905 90.00 90.00 90.00
Last column: nearest neighbours and their distance in Å.
Positions (direct):
Co 0.2423 0.2500 0.1464  9 Si 2.28-2.52
Co 0.2577 0.7500 0.6464  9 Si 2.28-2.52
Co 0.7423 0.2500 0.3536  9 Si 2.28-2.52
Co 0.7577 0.7500 0.8536  9 Si 2.28-2.52
Si 0.0564 0.7500 0.3547  5 Co 2.45-2.52, 2 Si 2.58
Si 0.1345 0.7500 0.9421  4 Co 2.28-2.37, 2 Si 2.47
Si 0.3655 0.2500 0.4421  4 Co 2.28-2.37, 2 Si 2.47
Si 0.4436 0.2500 0.8547  5 Co 2.45-2.52, 2 Si 2.58
Si 0.5564 0.7500 0.1453  5 Co 2.45-2.52, 2 Si 2.58
Si 0.6345 0.7500 0.5579  4 Co 2.28-2.37, 2 Si 2.47
Si 0.8655 0.2500 0.0579  4 Co 2.28-2.37, 2 Si 2.47
Si 0.9436 0.2500 0.6453  5 Co 2.45-2.52, 2 Si 2.58

DFT total energy = -6.26 eV/atom
D(E_F) = 1.7 states/eV/f.u.
Total magnetization = 0.0 μB per cell



CoSi2 | PBE | optimized geometry

Lattice parameters (Å, degrees): 4.1527 4.1527 2.5137 90.00 90.00 120.00
Last column: nearest neighbours and their distance in Å.
Positions (direct):
Co 0.0000 0.0000 0.0000  2 Co 2.51, 12 Si 2.71
Si 0.3333 0.6667 0.5000  5 Si 2.40-2.51
Si 0.6667 0.3333 0.5000  5 Si 2.40-2.51

DFT total energy = -5.68 eV/atom
D(E_F) = 3.0 states/eV/f.u.
Total magnetization = 0.4 μB per cell



Co3Si | PBE | optimized geometry

Lattice parameters (Å, degrees): 4.7626 4.7626 4.1501 90.00 90.00 87.39
Last column: nearest neighbours and their distance in Å.
Positions (direct):
Co 0.0687 0.9313 0.7500  1 Si 2.19, 2 Co 2.26
Co 0.1057 0.5561 0.2500  5 Co 2.33-2.54, 4 Si 2.43-2.56
Co 0.4439 0.8943 0.2500  5 Co 2.33-2.54, 4 Si 2.43-2.56
Co 0.5561 0.1057 0.7500  5 Co 2.33-2.54, 4 Si 2.43-2.56
Co 0.8943 0.4439 0.7500  5 Co 2.33-2.54, 4 Si 2.43-2.56
Co 0.9313 0.0687 0.2500  1 Si 2.19, 2 Co 2.26
Si 0.4018 0.5982 0.7500  3 Co 2.19-2.43, 2 Si 2.44
Si 0.5982 0.4018 0.2500  3 Co 2.19-2.43, 2 Si 2.44

DFT total energy = -6.63 eV/atom
D(E_F) = 3.6 states/eV/f.u.
Total magnetization = 8.0 μB per cell



CoSi | PBE | optimized geometry

Lattice parameters (Å, degrees): 3.7666 4.5771 4.5771 112.87 90.00 90.00
Last column: nearest neighbours and their distance in Å.
Positions (direct):
Co 0.0000 0.0000 0.0000  4 Si 2.25-2.34
Co 0.5000 0.2845 0.8393  6 Si 2.27-2.41
Co 0.5000 0.8393 0.2845  6 Si 2.27-2.41
Si 0.0000 0.1688 0.5326  5 Co 2.25-2.40
Si 0.0000 0.5326 0.1688  5 Co 2.25-2.40
Si 0.5000 0.7251 0.7251  6 Co 2.27-2.41

DFT total energy = -6.61 eV/atom
D(E_F) = 1.7 states/eV/f.u.
Total magnetization = 0.0 μB per cell



no.,formation energy from raw total energies (eV per atom)
1,-0.216
2,-0.368
3,-0.480
4,-0.678
5,-0.345
6,-0.304
7,-0.315
8,-0.455
9,-0.585
10,0.112
11,-0.272
12,0.302
13,0.060
14,-0.342